# 1
! TlAg2F2 (GGA-PBE, optimized geometry); values from VASP
&SYSTEM
  ibrav = 0, nat = 10, ntyp = 3
/
ATOMIC_SPECIES
Tl 204.38 Tl.upf
Ag 107.87 Ag.upf
F 19.00 F.upf
CELL_PARAMETERS angstrom
7.6771 0.0000 0.0000
0.0000 7.6771 0.0000
0.0000 0.0000 3.0786
ATOMIC_POSITIONS crystal
Tl 0.0000 0.0000 0.0000
Tl 0.5000 0.5000 0.0000
Ag 0.1225 0.3775 0.0000
Ag 0.3775 0.8775 0.0000
Ag 0.6225 0.1225 0.0000
Ag 0.8775 0.6225 0.0000
F 0.2049 0.7049 0.5000
F 0.2951 0.2049 0.5000
F 0.7049 0.7951 0.5000
F 0.7951 0.2951 0.5000
! - symmetry = No. 127
! - calculated density (g cm⁻³) = 8.39
! - crystal system = tetragonal
! - energy above the most stable polymorph in this dataset (meV per atom) = 141.8
! - calculated volume (A^3/atom) = 18.1
! - energy relative to the elements, uncorrected (eV/atom) = -0.76



# 2
! TlAg4F12 (GGA-PBE, optimized geometry); values from VASP
&SYSTEM
  ibrav = 0, nat = 17, ntyp = 3
/
ATOMIC_SPECIES
Tl 204.38 Tl.upf
Ag 107.87 Ag.upf
F 19.00 F.upf
CELL_PARAMETERS angstrom
6.2379 -3.9779 0.0000
6.2379 3.9779 0.0000
-6.2188 0.0000 6.2551
ATOMIC_POSITIONS crystal
Tl 0.0000 0.0000 0.0000
Ag 0.0000 0.5000 0.0000
Ag 0.0000 0.5000 0.5000
Ag 0.5000 0.0000 0.0000
Ag 0.5000 0.0000 0.5000
F 0.0416 0.3844 0.2408
F 0.1438 0.8002 0.1847
F 0.1998 0.8562 0.8153
F 0.2733 0.2733 0.5831
F 0.3085 0.3085 0.0323
F 0.3844 0.0416 0.2408
F 0.6156 0.9584 0.7592
F 0.6915 0.6915 0.9677
F 0.7267 0.7267 0.4169
F 0.8002 0.1438 0.1847
F 0.8562 0.1998 0.8153
F 0.9584 0.6156 0.7592
! - symmetry = No. 12
! - calculated density (g cm⁻³) = 4.62
! - crystal system = monoclinic
! - calculated volume (A^3/atom) = 18.3
! - energy relative to the elements, uncorrected (eV/atom) = -1.26



# 3
! TlAgF3 (GGA-PBE, optimized geometry); values from VASP
&SYSTEM
  ibrav = 0, nat = 10, ntyp = 3
/
ATOMIC_SPECIES
Tl 204.38 Tl.upf
Ag 107.87 Ag.upf
F 19.00 F.upf
CELL_PARAMETERS angstrom
6.2154 -2.2445 0.0000
6.2154 2.2445 0.0000
-4.3668 0.0000 6.0784
ATOMIC_POSITIONS crystal
Tl 0.0870 0.0870 0.3430
Tl 0.9130 0.9130 0.6570
Ag 0.3392 0.3392 0.0163
Ag 0.6608 0.6608 0.9837
F 0.1210 0.1210 0.6884
F 0.1292 0.1292 0.0661
F 0.3452 0.3452 0.6197
F 0.6548 0.6548 0.3803
F 0.8708 0.8708 0.9339
F 0.8790 0.8790 0.3116
! - symmetry = No. 12
! - calculated density (g cm⁻³) = 7.23
! - crystal system = monoclinic
! - energy above the most stable polymorph in this dataset (meV per atom) = 112.4
! - calculated volume (A^3/atom) = 17.0
! - energy relative to the elements, uncorrected (eV/atom) = -1.39